First-principles (PBE) data for a geometry-optimized BaNa2CaCd structure, as listed in Alexandria via LeMat-Bulk.

Final energy (eV per atom): -1.443
Fermi-level density of states (states/eV/cell): 3.81

Cell: 5.975 5.975 6.091 Å, 90.00 90.00 90.00°
Positions (direct):
Ba 0.000 0.000 0.000
Na 0.000 0.500 0.500
Na 0.500 0.000 0.500
Ca 0.500 0.500 0.000
Cd 0.500 0.500 0.500